A plane-wave DFT calculation with PBE+U was carried out for ScUFeO6 after structural relaxation.

Output
Its symmetry is P-31c (163). As for the raw total energy: -153.34 eV for the cell shown.

Lattice parameters (Å, degrees): 5.4292 5.4292 8.7768 90.00 90.00 120.00
Fractional coordinates of all 18 atoms:
Sc (0.3333, 0.6667, 0.2500)
Sc (0.6667, 0.3333, 0.7500)
U (0.3333, 0.6667, 0.7500)
U (0.6667, 0.3333, 0.2500)
Fe (0.0000, 0.0000, 0.0000)
Fe (0.0000, 0.0000, 0.5000)
O (0.0046, 0.3312, 0.6287)
O (0.0046, 0.6734, 0.8713)
O (0.3266, 0.3312, 0.8713)
O (0.3266, 0.9954, 0.6287)
O (0.3312, 0.0046, 0.1287)
O (0.3312, 0.3266, 0.3713)
O (0.6688, 0.6734, 0.6287)
O (0.6688, 0.9954, 0.8713)
O (0.6734, 0.0046, 0.3713)
O (0.6734, 0.6688, 0.1287)
O (0.9954, 0.3266, 0.1287)
O (0.9954, 0.6688, 0.3713)